YSb2Rh | PBE-GGA | relaxed

POSCAR file:
```
YSb2Rh
1.0
-1.056 -2.089 4.050
-0.327 -4.112 -2.206
8.402 -4.663 2.488
Y Sb Rh
2 4 2
direct
0.500 0.500 0.000
0.250 0.750 0.500
0.685 0.125 0.250
0.065 0.625 0.250
0.375 0.315 0.750
0.875 0.935 0.750
0.000 0.000 0.000
0.750 0.250 0.500
```

Computed properties:
* energy relative to the elements, uncorrected: -0.370 eV/atom
* symmetry: No. 122

***

YSb6Rh12 | PBE-GGA | relaxed

POSCAR file:
```
YSb6Rh12
1.0
7.489 -0.168 -0.236
-2.019 7.214 -0.236
-2.019 -2.600 6.733
Y Sb Rh
1 6 12
direct
0.000 0.000 0.000
0.705 0.269 0.269
0.269 0.269 0.705
0.269 0.705 0.269
0.731 0.731 0.295
0.295 0.731 0.731
0.731 0.295 0.731
0.878 0.122 0.500
0.837 0.605 0.605
0.605 0.605 0.837
0.395 0.163 0.395
0.395 0.395 0.163
0.163 0.395 0.395
0.122 0.500 0.878
0.500 0.878 0.122
0.122 0.878 0.500
0.878 0.500 0.122
0.500 0.122 0.878
0.605 0.837 0.605
```

Computed properties:
* energy relative to the elements, uncorrected: -0.285 eV/atom
* symmetry: No. 166

***

YSb2Rh | PBE-GGA | relaxed

POSCAR file:
```
YSb2Rh
1.0
3.861 0.000 0.000
0.000 3.861 0.000
0.000 0.000 6.187
Rh Sb Y
1 2 1
direct
0.500 0.500 0.813
0.000 0.000 0.956
0.500 0.500 0.258
0.000 0.000 0.473
```

Computed properties:
* energy relative to the elements, uncorrected: -0.477 eV/atom
* symmetry: No. 99

***

Y2SbRh | PBE-GGA | relaxed

POSCAR file:
```
Y2SbRh
1.0
4.325 0.000 0.000
0.000 6.085 -0.023
0.000 -3.057 7.530
Y Sb Rh
4 2 2
direct
0.750 0.202 0.449
0.250 0.798 0.551
0.250 0.767 0.096
0.750 0.233 0.904
0.250 0.320 0.209
0.750 0.680 0.791
0.750 0.657 0.289
0.250 0.343 0.711
```

Computed properties:
* energy relative to the elements, uncorrected: -0.967 eV/atom
* symmetry: No. 11

***

YSb2Rh | PBE-GGA | relaxed

POSCAR file:
```
YSb2Rh
1.0
4.258 -0.006 0.011
2.121 3.692 0.011
2.138 1.235 5.996
Rh Sb Y
1 2 1
direct
0.750 0.750 0.750
0.019 0.019 0.945
0.481 0.481 0.555
0.250 0.250 0.250
```

Computed properties:
* energy relative to the elements, uncorrected: -0.658 eV/atom
* symmetry: No. 12

***

YSbRh4 | PBE-GGA | relaxed

POSCAR file:
```
YSbRh4
1.0
0.000 3.751 3.751
3.751 0.000 3.751
3.751 3.751 0.000
Y Sb Rh
1 1 4
direct
0.000 0.000 0.000
0.750 0.750 0.750
0.873 0.376 0.376
0.376 0.376 0.873
0.376 0.873 0.376
0.376 0.376 0.376
```

Computed properties:
* energy relative to the elements, uncorrected: -0.419 eV/atom
* relative energy among the computed polymorphs: 0 meV per atom
* symmetry: No. 216